1.
Compound: LiPm5Au6
Source: Alexandria via LeMat-Bulk
Functional: PBE
Structure: optimized geometry

Computed properties:
**N(E_F)**: 8.63 states/eV/cell
**Final energy**: -4.512 eV per atom
**Energy relative to the elements**: -70.8 kJ/mol of atoms
**Total magnetic moment**: 0.0 μB/f.u.
**SG**: C2/m

a = 5.1540 Å, b = 8.9257 Å, c = 8.9257 Å
α = 119.71°, β = 106.73°, γ = 106.73°
Positions (direct):
Au (0.7414, 0.5705, 0.9131)
Au (0.2586, 0.0869, 0.4295)
Au (0.7414, 0.9131, 0.5705)
Au (0.2308, 0.7324, 0.7324)
Au (0.2586, 0.4295, 0.0869)
Au (0.7692, 0.2676, 0.2676)
Li (0.0000, 0.0000, 0.0000)
Pm (0.5000, 0.1536, 0.8464)
Pm (0.0000, 0.3294, 0.6706)
Pm (0.5000, 0.5000, 0.5000)
Pm (0.0000, 0.6706, 0.3294)
Pm (0.5000, 0.8464, 0.1536)



2.
Compound: Li7PmAu4
Source: Alexandria via LeMat-Bulk
Functional: PBE
Structure: optimized geometry

Computed properties:
**N(E_F)**: 5.66 states/eV/cell
**Final energy**: -2.883 eV per atom
**Energy relative to the elements**: -26.8 kJ/mol of atoms
**Total magnetic moment**: 0.0 μB/f.u.
**SG**: C2/m

a = 4.7880 Å, b = 7.3419 Å, c = 7.0897 Å
α = 73.16°, β = 70.26°, γ = 70.97°
Positions (direct):
Li (0.9391, 0.4177, 0.7040)
Li (0.7817, 0.8727, 0.5639)
Li (0.2183, 0.1273, 0.4361)
Li (0.3187, 0.6267, 0.7359)
Li (0.6813, 0.3733, 0.2641)
Li (0.5000, 0.0000, 0.0000)
Li (0.0609, 0.5823, 0.2960)
Pm (0.0000, 0.0000, 0.0000)
Au (0.4404, 0.7746, 0.3446)
Au (0.3058, 0.3411, 0.0474)
Au (0.5596, 0.2254, 0.6554)
Au (0.6942, 0.6589, 0.9526)



3.
Compound: Li2PmPrAu2
Source: Alexandria via LeMat-Bulk
Functional: PBE
Structure: optimized geometry

Computed properties:
**N(E_F)**: 6.14 states/eV/cell
**Final energy**: -3.844 eV per atom
**Energy relative to the elements**: -50.6 kJ/mol of atoms
**Total magnetic moment**: 0.0 μB/f.u.
**SG**: P-3m1

a = 4.6715 Å, b = 4.6715 Å, c = 7.1283 Å
α = 90.00°, β = 90.00°, γ = 120.00°
Positions (direct):
Au (0.6667, 0.3333, 0.7577)
Au (0.3333, 0.6667, 0.2423)
Li (0.3333, 0.6667, 0.7594)
Li (0.6667, 0.3333, 0.2406)
Pr (0.0000, 0.0000, 0.5000)
Pm (0.0000, 0.0000, 0.0000)